Record 1
# TlIn3S5

A relaxed structure of TlIn3S5 (PBE, Alexandria).

Properties
Energy relative to the elements, uncorrected, eV/atom: -0.5425
Density, g cm⁻³: 5.24
D(E_F), states/eV/cell: 0.000
Magnetic moment, μB per formula unit: 0.0
SG: C2/m, No. 12

abc: 10.5587 10.5587 12.9956
angles: 59.22 59.22 21.30
Atoms (fractional coordinates):
Tl1 0.2357 0.2357 0.2056
Tl2 0.7643 0.7643 0.7944
In1 0.3379 0.3379 0.4037
In2 0.5489 0.5489 0.1908
In3 0.4511 0.4511 0.8092
In4 0.6621 0.6621 0.5963
In5 0.0000 0.0000 0.5000
In6 0.0000 0.0000 0.0000
S1 0.5626 0.5626 0.8429
S2 0.0724 0.0724 0.6104
S3 0.7624 0.7624 0.3700
S4 0.5872 0.5872 0.3435
S5 0.2376 0.2376 0.6300
S6 0.4128 0.4128 0.6565
S7 0.9276 0.9276 0.3896
S8 0.8855 0.8855 0.9531
S9 0.4374 0.4374 0.1571
S10 0.1145 0.1145 0.0469



Record 2
# SiHIrSe2

A relaxed structure of SiHIrSe2 (PBE, Alexandria).

Properties
Density, g cm⁻³: 7.63
D(E_F), states/eV/cell: 2.260
Magnetic moment, μB per formula unit: 0.0
Calculated total energy, eV per atom: -4.63
SG: P4/mmm, No. 123

abc: 4.9349 3.3892 4.9349
angles: 90.00 90.00 90.00
Atoms (fractional coordinates):
H1 0.0000 0.5000 0.0000
Si1 0.5000 0.5000 0.5000
Ir1 0.0000 0.0000 0.0000
Se1 0.0000 0.0000 0.5000
Se2 0.5000 0.0000 0.0000



Record 3
# In2FeRh

A relaxed structure of In2FeRh (PBE, Alexandria).

Properties
Density, g cm⁻³: 8.83
D(E_F), states/eV/cell: 3.651
Magnetic moment, μB per formula unit: 3.3
ΔE_f, eV/f.u.: 0.18
SG: P4mm, No. 99

abc: 3.0893 3.0893 7.6536
angles: 90.00 90.00 90.00
Each line ends with the local moment (μB).
Atoms (fractional coordinates):
Fe1 0.5000 0.5000 0.7160  2.78
In1 0.0000 0.0000 0.9511  -0.02
In2 0.5000 0.5000 0.2981  -0.01
Rh1 0.0000 0.0000 0.5348  0.55



Record 4
# Tl3H4S2Cl3

A relaxed structure of Tl3H4S2Cl3 (PBE, Alexandria).

Properties
Density, g cm⁻³: 4.04
D(E_F), states/eV/cell: 0.000
Magnetic moment, μB per formula unit: 0.0
Calculated total energy, eV per atom: -3.35
SG: Imm2, No. 44

abc: 4.9948 6.5136 10.7679
angles: 107.61 103.41 90.00
Atoms (fractional coordinates):
Tl1 0.6791 0.0000 0.0000
Tl2 0.2030 0.6186 0.2373
Tl3 0.9657 0.3814 0.7627
H1 0.2026 0.8724 0.7448
H2 0.2706 0.2076 0.4152
H3 0.8553 0.7924 0.5848
H4 0.4579 0.1276 0.2552
S1 0.1909 0.1307 0.2613
S2 0.9295 0.8693 0.7387
Cl1 0.6043 0.5000 0.0000
Cl2 0.3766 0.2921 0.5843
Cl3 0.7923 0.7079 0.4157



Record 5
# KPSe4

A relaxed structure of KPSe4 (PBE, Alexandria).

Properties
Energy relative to the elements, uncorrected, eV/atom: 0.4082
Density, g cm⁻³: 4.62
D(E_F), states/eV/cell: 5.411
Magnetic moment, μB per formula unit: 0.0
SG: F-43m, No. 216

abc: 5.8095 5.8095 5.8095
angles: 60.00 60.00 60.00
Atoms (fractional coordinates):
K1 0.7500 0.7500 0.7500
P1 0.0000 0.0000 0.0000
Se1 0.8824 0.3725 0.3725
Se2 0.3725 0.3725 0.8824
Se3 0.3725 0.8824 0.3725
Se4 0.3725 0.3725 0.3725



Record 6
# SrCaGe4

A relaxed structure of SrCaGe4 (PBE, Alexandria).

Properties
Density, g cm⁻³: 4.62
D(E_F), states/eV/cell: 1.557
Magnetic moment, μB per formula unit: 0.0
ΔE_f, eV/f.u.: -2.55
SG: Immm, No. 71

abc: 4.1018 6.3950 6.3950
angles: 80.84 71.29 71.29
Atoms (fractional coordinates):
Sr1 0.0000 0.0000 0.0000
Ca1 0.5000 0.5000 0.5000
Ge1 0.2361 0.4251 0.1027
Ge2 0.2361 0.1027 0.4251
Ge3 0.7639 0.5749 0.8973
Ge4 0.7639 0.8973 0.5749



Record 7
# Tl2SiHgSb

A relaxed structure of Tl2SiHgSb (PBE, Alexandria).

Properties
Energy relative to the elements, uncorrected, eV/atom: 0.5643
Density, g cm⁻³: 6.26
D(E_F), states/eV/cell: 1.957
Magnetic moment, μB per formula unit: 0.0
SG: P4/mmm, No. 123

abc: 6.3572 4.9851 6.3572
angles: 90.00 90.00 90.00
Atoms (fractional coordinates):
Sb1 0.0000 0.0000 0.0000
Tl1 0.0000 0.0000 0.5000
Tl2 0.5000 0.0000 0.0000
Si1 0.0000 0.5000 0.0000
Hg1 0.5000 0.5000 0.5000



Record 8
# RbTb2Sc

A relaxed structure of RbTb2Sc (PBE, Alexandria).

Properties
Density, g cm⁻³: 5.23
D(E_F), states/eV/cell: 3.828
Magnetic moment, μB per formula unit: 0.0
ΔE_f, eV/f.u.: 1.27
SG: R-3m, No. 166

abc: 3.5594 3.5594 13.1382
angles: 82.21 82.21 60.00
Atoms (fractional coordinates):
Sc1 0.5000 0.5000 0.5000
Tb1 0.0991 0.0991 0.7027
Tb2 0.9009 0.9009 0.2973
Rb1 0.0000 0.0000 0.0000